Entry 1:
DFT (GGA-PBE) results for a geometry-optimized TiCo2SnH structure.

Lattice parameters (Å, degrees): 3.9058 3.9058 3.8264 90.00 90.00 90.00
With the nearest neighbours (Å) after each atom.
Space group P4/mmm (No. 123)
Asymmetric unit:
1 Ti 0.0000 0.0000 0.0000 x1  2 H 1.91
2 Co 0.0000 0.5000 0.5000 x2  2 H 1.95
3 Sn 0.5000 0.5000 0.0000 x1  8 Co 2.73, 4 Ti 2.76
4 H 0.0000 0.0000 0.5000 x1  2 Ti 1.91, 4 Co 1.95

Values from the calculation:
As for the calculated total energy: -6.07 eV per atom.

=====

Entry 2:
DFT (GGA-PBE) results for a geometry-optimized Dy2HoZn2 structure.

Lattice parameters (Å, degrees): 5.3049 15.1770 6.1233 90.00 90.00 90.00
With the nearest neighbours (Å) after each atom.
Space group Cmc2_1 (No. 36)
Asymmetric unit:
1 Dy 0.0000 0.0438 0.0000 x4  3 Zn 2.83-3.08
2 Dy 0.0000 0.2010 0.5874 x4  5 Zn 2.87-3.14
3 Ho 0.0000 0.4178 0.8418 x4  4 Zn 3.04-3.29
4 Zn 0.0000 0.2265 0.0962 x4  1 Zn 2.73, 4 Dy 2.83-3.03
5 Zn 0.0000 0.3796 0.3294 x4  1 Zn 2.73, 1 Ho 3.04

Values from the calculation:
As for the calculated total energy: -3.46 eV per atom. The calculation puts the calculated formation energy at -0.20 eV per atom.

=====

Entry 3:
DFT (GGA-PBE) results for a geometry-optimized Y2TaRu structure.

Lattice parameters (Å, degrees): 3.2723 4.5603 5.9780 90.00 102.63 90.00
With the nearest neighbours (Å) after each atom.
Space group P2/m (No. 10)
Asymmetric unit:
1 Y 0.0978 0.0000 0.2627 x2  2 Ru 2.85, 2 Y 3.04-3.07, 2 Ta 3.19
2 Ta 0.5000 0.5000 0.0000 x1  2 Ru 2.99, 8 Y 3.19-3.21, 2 Ta 3.27
3 Ru 0.5000 0.5000 0.5000 x1  4 Y 2.85, 2 Ta 2.99

Values from the calculation:
As for the calculated total energy: -8.25 eV per atom. The calculation puts the calculated formation energy at 0.27 eV per atom.

=====

Entry 4:
DFT (GGA-PBE) results for a geometry-optimized ScZnOs structure.

Lattice parameters (Å, degrees): 4.5048 4.5048 2.7709 90.00 90.00 120.00
With the nearest neighbours (Å) after each atom.
Space group P3m1 (No. 156)
Asymmetric unit:
1 Sc 0.0000 0.0000 0.0000 x1  2 Sc 2.77, 3 Os 2.79, 6 Zn 2.86-3.04
2 Zn 0.6667 0.3333 0.4328 x1  3 Os 2.66, 2 Zn 2.77, 3 Sc 2.86
3 Os 0.3333 0.6667 0.6391 x1  3 Zn 2.66, 2 Os 2.77, 3 Sc 2.79

Values from the calculation:
As for the calculated total energy: -6.40 eV per atom. The calculation puts the calculated formation energy at -0.12 eV per atom.

=====

Entry 5:
DFT (GGA-PBE) results for a geometry-optimized Li2CaMg structure.

Lattice parameters (Å, degrees): 8.2129 8.2129 6.4784 90.00 90.00 90.00
With the nearest neighbours (Å) after each atom.
Space group I-42d (No. 122)
Asymmetric unit:
1 Li 0.2188 0.2500 0.1250 x8  2 Mg 2.85
2 Ca 0.0000 0.0000 0.5000 x4  4 Li 3.19, 2 Mg 3.24
3 Mg 0.0000 0.0000 0.0000 x4  4 Li 2.85

Values from the calculation:
As for the calculated total energy: -1.71 eV per atom. The calculation puts the calculated formation energy at 0.15 eV per atom.

=====

Entry 6:
DFT (GGA-PBE) results for a geometry-optimized UAg2Br4O2 structure.

Lattice parameters (Å, degrees): 13.3006 7.8338 5.9060 90.00 91.82 90.00
With the nearest neighbours (Å) after each atom.
Space group C2/m (No. 12)
Asymmetric unit:
1 U 0.0000 0.0000 0.0000 x2  2 O 1.80
2 Ag 0.2346 0.5000 0.9703 x4  4 Br 2.76-2.83, 1 O 2.99
3 Br 0.1350 0.2495 0.2028 x8  2 Ag 2.76-2.83, 1 U 2.89
4 O 0.0737 0.0000 0.7505 x4  1 U 1.80

Values from the calculation:
Its uncorrected formation energy is -1.302 eV per atom. As for the calculated total energy: -5.04 eV per atom.

=====

- Among the records above, which one has the lowest calculated total energy?
  Y2TaRu